Entry 1:
First-principles (PBE) data for a geometry-optimized CuAg4 structure, as listed in OQMD.

```
CuAg4
1.0
4.7777 -1.4441 0.0000
4.7777 1.4441 0.0000
-3.5441 0.0000 6.0634
Cu Ag
1 4
direct
0.0000 0.0000 0.0000 Cu
0.2088 0.2088 0.8047 Ag
0.4069 0.4069 0.6149 Ag
0.5931 0.5931 0.3851 Ag
0.7912 0.7912 0.1953 Ag
```

E_form: 0.05 eV per atom
calculated total energy: -2.948 eV/atom
ΔE to the lowest computed polymorph: 30 meV/atom

=====

Entry 2:
First-principles (PBE) data for a geometry-optimized YHoTeC structure, as listed in OQMD.

```
YHoTeC
1.0
3.8262 0.0000 0.0000
-1.9131 3.3136 0.0000
0.0000 0.0000 13.9976
Y Ho Te C
2 2 2 2
direct
0.3333 0.6667 0.0000 Y
0.6667 0.3333 0.5000 Y
0.3333 0.6667 0.6867 Ho
0.6667 0.3333 0.1867 Ho
0.3333 0.6667 0.3429 Te
0.6667 0.3333 0.8429 Te
0.0000 0.0000 0.0946 C
0.0000 0.0000 0.5946 C
```

M_tot: 0.0 μB per formula unit
calculated total energy: -6.734 eV/atom

=====

Entry 3:
First-principles (PBE) data for a geometry-optimized Be4Ag structure, as listed in OQMD.

```
Be4Ag
1.0
3.1691 0.0000 0.0000
0.0000 3.1691 0.0000
0.0000 0.0000 10.4113
Be Ag
8 2
direct
0.2500 0.2500 0.0011 Be
0.2500 0.7500 0.1420 Be
0.2500 0.7500 0.5000 Be
0.2500 0.7500 0.8580 Be
0.7500 0.2500 0.1420 Be
0.7500 0.2500 0.5000 Be
0.7500 0.2500 0.8580 Be
0.7500 0.7500 0.9989 Be
0.2500 0.2500 0.6748 Ag
0.7500 0.7500 0.3252 Ag
```

calculated total energy: -3.316 eV/atom